Zr3SnS PBE relaxed; D(E_F) = 4.5 states/eV/cell; symmetry = Pm-3m, No. 221; formation energy without anion corrections = -0.54 eV per atom; excess energy over the best structure of this formula in the dataset = 0.0 kJ per mole of atoms
1.0
4.8359 0.0000 0.0000
0.0000 4.8359 0.0000
0.0000 0.0000 4.8359
S Zr Sn
1 3 1
Cartesian
0.0000 0.0000 0.0000
0.0000 2.4180 0.0000
0.0000 0.0000 2.4180
2.4180 0.0000 0.0000
2.4180 2.4180 2.4180

Co2WSeS PBE relaxed; D(E_F) = 8.7 states/eV/cell; symmetry = P4/mmm, No. 123; formation energy without anion corrections = 1.22 eV per atom
1.0
4.2792 0.0000 0.0000
0.0000 4.7656 0.0000
0.0000 0.0000 4.2792
W Co S Se
1 2 1 1
Cartesian
0.0000 2.3828 0.0000
0.0000 0.0000 2.1396
2.1396 0.0000 0.0000
2.1396 2.3828 2.1396
0.0000 0.0000 0.0000

Please write out number 2 again, unchanged.
Co2WSeS PBE relaxed; D(E_F) = 8.7 states/eV/cell; symmetry = P4/mmm, No. 123; formation energy without anion corrections = 1.22 eV per atom
1.0
4.2792 0.0000 0.0000
0.0000 4.7656 0.0000
0.0000 0.0000 4.2792
W Co S Se
1 2 1 1
Cartesian
0.0000 2.3828 0.0000
0.0000 0.0000 2.1396
2.1396 0.0000 0.0000
2.1396 2.3828 2.1396
0.0000 0.0000 0.0000

Which of these has the highest D(E_F)?
Co2WSeS